Entry 1:
A plane-wave DFT calculation with PBE was carried out for a geometry-optimized Dy2PdAu structure.

Results
- Calculated formation energy: -0.713 eV per atom
- Crystal system: trigonal
- DOS(E_F): 0.668 states/eV per atom

Lattice parameters (Å, degrees): 3.9911 3.9911 7.6551 74.89 74.89 60.00
Last column: nearest neighbours and their distance in Å.
Element x y z (fractional)
Dy1 0.0851 0.0851 0.7448  3 Pd 2.93, 3 Au 2.97
Dy2 0.2474 0.2474 0.2579  3 Pd 2.89, 3 Au 2.97
Pd1 0.5010 0.5010 0.4969  6 Dy 2.89-2.93
Au1 0.6665 0.6665 0.0004  6 Dy 2.97

Entry 2:
A plane-wave DFT calculation with PBE was carried out for a geometry-optimized DyPd12Au6 structure.

Results
- Calculated formation energy: 0.017 eV per atom
- Crystal system: trigonal
- DOS(E_F): 0.940 states/eV per atom

Lattice parameters (Å, degrees): 7.4447 7.4447 7.4447 106.11 106.11 106.11
Last column: nearest neighbours and their distance in Å.
Element x y z (fractional)
Dy1 0.0000 0.0000 0.0000  6 Pd 2.76
Pd1 0.8892 0.1108 0.5000  3 Pd 2.64-2.74, 4 Au 2.72-2.78
Pd2 0.9001 0.6622 0.6622  4 Pd 2.74-2.83, 1 Dy 2.76, 4 Au 2.81-2.87
Pd3 0.6622 0.6622 0.9001  4 Pd 2.74-2.83, 1 Dy 2.76, 4 Au 2.81-2.87
Pd4 0.3378 0.0999 0.3378  4 Pd 2.74-2.83, 1 Dy 2.76, 4 Au 2.81-2.87
Pd5 0.3378 0.3378 0.0999  4 Pd 2.74-2.83, 1 Dy 2.76, 4 Au 2.81-2.87
Pd6 0.0999 0.3378 0.3378  4 Pd 2.74-2.83, 1 Dy 2.76, 4 Au 2.81-2.87
Pd7 0.1108 0.5000 0.8892  3 Pd 2.64-2.74, 4 Au 2.72-2.78
Pd8 0.5000 0.8892 0.1108  3 Pd 2.64-2.74, 4 Au 2.72-2.78
Pd9 0.1108 0.8892 0.5000  3 Pd 2.64-2.74, 4 Au 2.72-2.78
Pd10 0.8892 0.5000 0.1108  3 Pd 2.64-2.74, 4 Au 2.72-2.78
Pd11 0.5000 0.1108 0.8892  3 Pd 2.64-2.74, 4 Au 2.72-2.78
Pd12 0.6622 0.9001 0.6622  4 Pd 2.74-2.83, 1 Dy 2.76, 4 Au 2.81-2.87
Au1 0.6993 0.3069 0.3069  8 Pd 2.72-2.87, 2 Au 2.90
Au2 0.3069 0.3069 0.6993  8 Pd 2.72-2.87, 2 Au 2.90
Au3 0.3069 0.6993 0.3069  8 Pd 2.72-2.87, 2 Au 2.90
Au4 0.6931 0.6931 0.3007  8 Pd 2.72-2.87, 2 Au 2.90
Au5 0.3007 0.6931 0.6931  8 Pd 2.72-2.87, 2 Au 2.90
Au6 0.6931 0.3007 0.6931  8 Pd 2.72-2.87, 2 Au 2.90

Entry 3:
A plane-wave DFT calculation with PBE was carried out for a geometry-optimized DyPd6Au3 structure.

Results
- Calculated formation energy: -0.239 eV per atom
- Crystal system: monoclinic
- DOS(E_F): 0.593 states/eV per atom

Lattice parameters (Å, degrees): 7.8849 5.4345 5.4345 59.20 67.93 67.93
Last column: nearest neighbours and their distance in Å.
Element x y z (fractional)
Dy1 0.5000 0.5000 0.5000  10 Pd 2.96-3.20, 4 Au 3.07
Pd1 0.3122 0.0796 0.5715  3 Pd 2.64-2.73, 3 Au 2.67-2.76
Pd2 0.6878 0.4285 0.9204  3 Pd 2.64-2.73, 3 Au 2.67-2.76
Pd3 0.6878 0.9204 0.4285  3 Pd 2.64-2.73, 3 Au 2.67-2.76
Pd4 0.3122 0.5715 0.0796  3 Pd 2.64-2.73, 3 Au 2.67-2.76
Pd5 0.0523 0.6300 0.6300  5 Au 2.87-3.20, 5 Pd 2.91-3.02, 1 Dy 3.20
Pd6 0.9477 0.3700 0.3700  5 Au 2.87-3.20, 5 Pd 2.91-3.02, 1 Dy 3.20
Au1 0.2914 0.0861 0.0861  5 Pd 2.69-2.87, 2 Au 2.75-2.97
Au2 0.7086 0.9139 0.9139  5 Pd 2.69-2.87, 2 Au 2.75-2.97
Au3 0.0000 0.0000 0.0000  4 Pd 2.67, 2 Au 2.75

- Among the records above, which one has the lowest calculated formation energy?
  Dy2PdAu

Repeat the second record exactly.
A plane-wave DFT calculation with PBE was carried out for a geometry-optimized DyPd12Au6 structure.

Results
- Calculated formation energy: 0.017 eV per atom
- Crystal system: trigonal
- DOS(E_F): 0.940 states/eV per atom

Lattice parameters (Å, degrees): 7.4447 7.4447 7.4447 106.11 106.11 106.11
Last column: nearest neighbours and their distance in Å.
Element x y z (fractional)
Dy1 0.0000 0.0000 0.0000  6 Pd 2.76
Pd1 0.8892 0.1108 0.5000  3 Pd 2.64-2.74, 4 Au 2.72-2.78
Pd2 0.9001 0.6622 0.6622  4 Pd 2.74-2.83, 1 Dy 2.76, 4 Au 2.81-2.87
Pd3 0.6622 0.6622 0.9001  4 Pd 2.74-2.83, 1 Dy 2.76, 4 Au 2.81-2.87
Pd4 0.3378 0.0999 0.3378  4 Pd 2.74-2.83, 1 Dy 2.76, 4 Au 2.81-2.87
Pd5 0.3378 0.3378 0.0999  4 Pd 2.74-2.83, 1 Dy 2.76, 4 Au 2.81-2.87
Pd6 0.0999 0.3378 0.3378  4 Pd 2.74-2.83, 1 Dy 2.76, 4 Au 2.81-2.87
Pd7 0.1108 0.5000 0.8892  3 Pd 2.64-2.74, 4 Au 2.72-2.78
Pd8 0.5000 0.8892 0.1108  3 Pd 2.64-2.74, 4 Au 2.72-2.78
Pd9 0.1108 0.8892 0.5000  3 Pd 2.64-2.74, 4 Au 2.72-2.78
Pd10 0.8892 0.5000 0.1108  3 Pd 2.64-2.74, 4 Au 2.72-2.78
Pd11 0.5000 0.1108 0.8892  3 Pd 2.64-2.74, 4 Au 2.72-2.78
Pd12 0.6622 0.9001 0.6622  4 Pd 2.74-2.83, 1 Dy 2.76, 4 Au 2.81-2.87
Au1 0.6993 0.3069 0.3069  8 Pd 2.72-2.87, 2 Au 2.90
Au2 0.3069 0.3069 0.6993  8 Pd 2.72-2.87, 2 Au 2.90
Au3 0.3069 0.6993 0.3069  8 Pd 2.72-2.87, 2 Au 2.90
Au4 0.6931 0.6931 0.3007  8 Pd 2.72-2.87, 2 Au 2.90
Au5 0.3007 0.6931 0.6931  8 Pd 2.72-2.87, 2 Au 2.90
Au6 0.6931 0.3007 0.6931  8 Pd 2.72-2.87, 2 Au 2.90

- calculated formation energy of number 2 (DyPd12Au6)?
  0.017 eV per atom